No. 1
LiTl: optimized geometry, PBE.

abc: 5.5902 5.5902 5.5902
angles: 90.00 90.00 90.00
With the nearest neighbours (Å) after each atom.
Atoms (fractional coordinates):
1 Tl 0.4076 0.5924 0.9076  7 Li 2.95-3.04
2 Tl 0.9076 0.9076 0.0924  7 Li 2.95-3.04
3 Tl 0.0924 0.4076 0.4076  7 Li 2.95-3.04
4 Tl 0.5924 0.0924 0.5924  7 Li 2.95-3.04
5 Li 0.1003 0.8997 0.6003  7 Tl 2.95-3.04
6 Li 0.3997 0.1003 0.1003  7 Tl 2.95-3.04
7 Li 0.6003 0.6003 0.3997  7 Tl 2.95-3.04
8 Li 0.8997 0.3997 0.8997  7 Tl 2.95-3.04

Density of states at the Fermi level: 2.95 states/eV per cell
Energy of formation from the pure elements: -19.4 kJ/mol of atoms
Calculated volume: 21.8 A^3/atom
Electronic total energy: -2.3416 eV/atom

***

No. 2
Pr6NiOs2I3: optimized geometry, PBE.

abc: 7.2637 7.2637 8.5738
angles: 98.13 98.13 120.00
With the nearest neighbours (Å) after each atom.
Atoms (fractional coordinates):
1 Pr 0.6001 0.9380 0.8140  2 Os 2.85, 1 Ni 2.89
2 Pr 0.7241 0.7241 0.1857  2 Os 2.85, 1 Ni 2.89
3 Pr 0.9380 0.6001 0.8140  2 Os 2.85, 1 Ni 2.89
4 Pr 0.2759 0.2759 0.8143  2 Os 2.85, 1 Ni 2.89
5 Pr 0.3999 0.0620 0.1860  2 Os 2.85, 1 Ni 2.89
6 Pr 0.0620 0.3999 0.1860  2 Os 2.85, 1 Ni 2.89
7 Os 0.3334 0.6666 0.0000  6 Pr 2.85
8 Os 0.6666 0.3334 0.0000  6 Pr 2.85
9 I 0.5000 0.5000 0.5000  6 Pr 3.52-3.55
10 I 0.8322 0.1678 0.5000  6 Pr 3.51-3.56
11 I 0.1678 0.8322 0.5000  6 Pr 3.51-3.56
12 Ni 0.0000 0.0000 0.0000  6 Pr 2.89

Density of states at the Fermi level: 5.16 states/eV per cell
E_form (uncorrected): -0.5930 eV/atom
Calculated volume: 31.3 A^3/atom
Electronic total energy: -5.7237 eV/atom

***

No. 3
CdOsCl2: optimized geometry, PBE.

abc: 3.0918 4.6035 7.2264
angles: 71.61 90.00 90.00
With the nearest neighbours (Å) after each atom.
Atoms (fractional coordinates):
1 Cl 0.5000 0.3970 0.3286  2 Os 2.35
2 Cl 0.0000 0.1001 0.9260  1 Os 2.32
3 Cd 0.5000 0.7340 0.6579  4 Os 2.81, 2 Cd 3.09
4 Os 0.0000 0.2689 0.5875  3 Cl 2.32-2.35

Density of states at the Fermi level: 2.77 states/eV per cell
E_form (uncorrected): 0.0455 eV/atom
Calculated volume: 24.4 A^3/atom
Electronic total energy: -3.9141 eV/atom
Energy relative to the lowest polymorph listed for this composition: 0.000 eV/atom

***

No. 4
ScZnGaSn: optimized geometry, PBE.

abc: 4.1417 4.2469 4.3813
angles: 90.00 90.00 90.00
With the nearest neighbours (Å) after each atom.
Atoms (fractional coordinates):
1 Sn 0.0000 0.0000 0.0000  4 Zn 2.97, 4 Sc 3.01, 4 Ga 3.05
2 Ga 0.0000 0.5000 0.5000  4 Sc 2.97, 4 Zn 3.01, 4 Sn 3.05
3 Zn 0.5000 0.5000 0.0000  4 Sn 2.97, 4 Ga 3.01, 4 Sc 3.05
4 Sc 0.5000 0.0000 0.5000  4 Ga 2.97, 4 Sn 3.01, 4 Zn 3.05

Density of states at the Fermi level: 1.71 states/eV per cell
Energy of formation from the pure elements: -37.9 kJ/mol of atoms
Calculated volume: 19.3 A^3/atom
Electronic total energy: -4.0514 eV/atom

***

No. 5
MgNbH2: optimized geometry, PBE.

abc: 3.1178 3.1178 5.6856
angles: 74.09 74.09 60.00
With the nearest neighbours (Å) after each atom.
Atoms (fractional coordinates):
1 Mg 0.4913 0.4913 0.5261  6 H 2.46-2.70
2 H 0.2820 0.2820 0.1540  3 Nb 2.02
3 H 0.0546 0.0546 0.8362  3 Nb 1.97
4 Nb 0.6721 0.6721 0.9836  6 H 1.97-2.02

Density of states at the Fermi level: 1.76 states/eV per cell
Calculated volume: 11.4 A^3/atom
Electronic total energy: -4.6523 eV/atom
Energy relative to the lowest polymorph listed for this composition: 0.000 eV/atom

***

No. 6
FeTcW2: optimized geometry, PBE.

abc: 2.6940 2.6940 8.1174
angles: 90.00 90.00 101.21
With the nearest neighbours (Å) after each atom.
Atoms (fractional coordinates):
1 W 0.5000 0.5000 0.2747  4 Fe 2.56-2.83, 6 W 2.69-2.85
2 W 0.0000 0.0000 0.9943  6 W 2.69-2.85, 2 Tc 2.80
3 Tc 0.5000 0.5000 0.7209  4 Fe 2.42-2.70, 4 Tc 2.69
4 Fe 0.0000 0.0000 0.5101  4 Tc 2.42-2.70, 2 W 2.56, 4 Fe 2.69

Density of states at the Fermi level: 2.77 states/eV per cell
Energy of formation from the pure elements: 14.8 kJ/mol of atoms
Calculated volume: 14.4 A^3/atom
Electronic total energy: -11.0302 eV/atom
Energy relative to the lowest polymorph listed for this composition: 0.050 eV/atom

***

No. 7
Hg2SN: optimized geometry, PBE.

abc: 5.6358 5.6358 6.7707
angles: 65.41 65.41 90.00
With the nearest neighbours (Å) after each atom.
Atoms (fractional coordinates):
1 S 0.7500 0.2500 0.5000  4 Hg 2.63
2 S 0.0000 0.0000 0.0000  4 Hg 2.63
3 Hg 0.1864 0.6250 0.2500  2 N 2.23
4 Hg 0.5636 0.1250 0.2500  2 N 2.23
5 Hg 0.3750 0.4364 0.7500  2 N 2.23
6 Hg 0.8750 0.8136 0.7500  2 N 2.23
7 N 0.5000 0.5000 0.0000  4 Hg 2.23
8 N 0.2500 0.7500 0.5000  4 Hg 2.23

Density of states at the Fermi level: 8.48 states/eV per cell
E_form (uncorrected): 0.7433 eV/atom
Calculated volume: 21.7 A^3/atom
Electronic total energy: -2.5208 eV/atom
Energy relative to the lowest polymorph listed for this composition: 0.000 eV/atom

***

No. 8
Nb2ReIr5Ru: optimized geometry, PBE.

abc: 7.1009 7.1009 7.7329
angles: 117.33 117.33 90.00
With the nearest neighbours (Å) after each atom.
Atoms (fractional coordinates):
1 Ir 0.5000 0.5000 0.0000  4 Nb 2.82, 2 Re 2.94, 8 Ir 3.06
2 Ir 0.0000 0.0000 0.0000  4 Nb 2.82, 2 Re 2.94, 8 Ir 3.06
3 Ir 0.9360 0.4360 0.2907  1 Nb 2.41, 1 Ru 2.44, 1 Ir 2.59
4 Ir 0.8547 0.9360 0.2907  1 Nb 2.41, 1 Ru 2.44, 1 Ir 2.59
5 Ir 0.5640 0.6453 0.7093  1 Nb 2.41, 1 Ru 2.44, 1 Ir 2.59
6 Ir 0.0640 0.5640 0.7093  1 Nb 2.41, 1 Ru 2.44, 1 Ir 2.59
7 Ir 0.6453 0.1453 0.7093  1 Nb 2.41, 1 Ru 2.44, 1 Ir 2.59
8 Ir 0.3547 0.8547 0.2907  1 Nb 2.41, 1 Ru 2.44, 1 Ir 2.59
9 Ir 0.1453 0.0640 0.7093  1 Nb 2.41, 1 Ru 2.44, 1 Ir 2.59
10 Ir 0.4360 0.3547 0.2907  1 Nb 2.41, 1 Ru 2.44, 1 Ir 2.59
11 Nb 0.1217 0.3783 0.0000  2 Ir 2.41, 1 Nb 2.44
12 Nb 0.8783 0.6217 0.0000  2 Ir 2.41, 1 Nb 2.44
13 Nb 0.6217 0.1217 0.0000  2 Ir 2.41, 1 Nb 2.44
14 Nb 0.3783 0.8783 0.0000  2 Ir 2.41, 1 Nb 2.44
15 Re 0.7500 0.7500 0.5000  10 Ir 2.83-2.94
16 Re 0.2500 0.2500 0.5000  10 Ir 2.83-2.94
17 Ru 0.2500 0.7500 0.5000  4 Ir 2.44
18 Ru 0.7500 0.2500 0.5000  4 Ir 2.44

Density of states at the Fermi level: 21.81 states/eV per cell
Energy of formation from the pure elements: 49.4 kJ/mol of atoms
Calculated volume: 16.5 A^3/atom
Electronic total energy: -9.0625 eV/atom

***

No. 9
Tb2Pm4Y3: optimized geometry, PBE.

abc: 7.1217 12.1345 12.1345
angles: 47.89 54.07 54.07
With the nearest neighbours (Å) after each atom.
Atoms (fractional coordinates):
1 Pm 0.8466 0.1789 0.4742  2 Pm 3.26-3.29, 3 Tb 3.31-3.59, 2 Y 3.52-3.53
2 Pm 0.9700 0.1801 0.8501  4 Pm 3.26-3.60, 1 Tb 3.32, 2 Y 3.56
3 Pm 0.5300 0.1499 0.8199  4 Pm 3.26-3.60, 1 Tb 3.32, 2 Y 3.56
4 Pm 0.0300 0.8199 0.1499  4 Pm 3.26-3.60, 1 Tb 3.32, 2 Y 3.56
5 Pm 0.1534 0.8211 0.5258  2 Pm 3.26-3.29, 3 Tb 3.31-3.59, 2 Y 3.52-3.53
6 Pm 0.3466 0.4742 0.1790  2 Pm 3.26-3.29, 3 Tb 3.31-3.59, 2 Y 3.52-3.53
7 Pm 0.6534 0.5258 0.8210  2 Pm 3.26-3.29, 3 Tb 3.31-3.59, 2 Y 3.52-3.53
8 Pm 0.4700 0.8501 0.1801  4 Pm 3.26-3.60, 1 Tb 3.32, 2 Y 3.56
9 Y 0.4110 0.1697 0.1693  6 Pm 3.52-3.90, 2 Y 3.56, 4 Tb 3.56-3.87
10 Y 0.0890 0.8307 0.8303  6 Pm 3.52-3.90, 2 Y 3.56, 4 Tb 3.56-3.87
11 Y 0.2500 0.5003 0.4997  2 Y 3.56, 4 Tb 3.74, 8 Pm 3.74-3.76
12 Y 0.5890 0.8303 0.8307  6 Pm 3.52-3.90, 2 Y 3.56, 4 Tb 3.56-3.87
13 Y 0.9110 0.1693 0.1697  6 Pm 3.52-3.90, 2 Y 3.56, 4 Tb 3.56-3.87
14 Y 0.7500 0.4997 0.5003  2 Y 3.56, 4 Tb 3.74, 8 Pm 3.74-3.76
15 Tb 0.6798 0.8472 0.4729  1 Tb 3.30, 4 Pm 3.31-3.59, 2 Y 3.56
16 Tb 0.1798 0.4729 0.8472  1 Tb 3.30, 4 Pm 3.31-3.59, 2 Y 3.56
17 Tb 0.3202 0.1528 0.5271  1 Tb 3.30, 4 Pm 3.31-3.59, 2 Y 3.56
18 Tb 0.8202 0.5271 0.1528  1 Tb 3.30, 4 Pm 3.31-3.59, 2 Y 3.56

Density of states at the Fermi level: 26.14 states/eV per cell
Energy of formation from the pure elements: 4.1 kJ/mol of atoms
Calculated volume: 33.1 A^3/atom
Electronic total energy: -5.2523 eV/atom
Energy relative to the lowest polymorph listed for this composition: 0.027 eV/atom

***

No. 10
YZr2P: optimized geometry, PBE.

abc: 8.8941 8.8941 8.8941
angles: 23.23 23.23 23.23
With the nearest neighbours (Å) after each atom.
Atoms (fractional coordinates):
1 Y 0.0000 0.0000 0.0000  6 Zr 3.48, 6 Y 3.58
2 Zr 0.2254 0.2254 0.2254  3 P 2.57
3 Zr 0.7746 0.7746 0.7746  3 P 2.57
4 P 0.5000 0.5000 0.5000  6 Zr 2.57

Density of states at the Fermi level: 5.91 states/eV per cell
Energy of formation from the pure elements: -58.3 kJ/mol of atoms
Calculated volume: 24.0 A^3/atom
Electronic total energy: -7.8468 eV/atom